Record 1
CsTiCrCl6 | PBE | relaxed

- formation energy (no corrections) (kJ/mol of formula units) = -1286
- N(E_F) (states/eV/f.u.) = 6.240

Cell: 6.6208 11.0579 7.7999 Å, 90.00 91.50 90.00°
Closest atoms and distances in Å follow each position.
Space group C2 (No. 5)
Inequivalent atoms, fractional coordinates:
1 Cs 0.0000 0.0000 0.0000 x2  6 Cl 3.49-3.52
2 Ti 0.0000 0.6648 0.5000 x2  6 Cl 2.38-2.49
3 Cr 0.0000 0.3276 0.5000 x2  6 Cl 2.42-2.63
4 Cl 0.1197 0.4916 0.6807 x4  1 Cr 2.42, 1 Ti 2.49
5 Cl 0.1770 0.8014 0.6856 x4  1 Ti 2.38, 1 Cr 2.63
6 Cl 0.1867 0.1776 0.6697 x4  1 Cr 2.44, 1 Ti 2.49

Record 2
Cs2TlCrCl6 | PBE | relaxed

- formation energy (no corrections) (kJ/mol of formula units) = -1437
- N(E_F) (states/eV/f.u.) = 0.000

Cell: 10.8798 10.8798 10.8798 Å, 90.00 90.00 90.00°
Closest atoms and distances in Å follow each position.
Space group Fm-3m (No. 225)
Inequivalent atoms, fractional coordinates:
1 Cs 0.2500 0.2500 0.2500 x8  12 Cl 3.86
2 Tl 0.0000 0.0000 0.0000 x4  6 Cl 3.06
3 Cr 0.0000 0.0000 0.5000 x4  6 Cl 2.38
4 Cl 0.0000 0.0000 0.2817 x24  1 Cr 2.38

Record 3
CsTlCr2Cl8 | PBE | relaxed

- formation energy (no corrections) (kJ/mol of formula units) = -1291
- N(E_F) (states/eV/f.u.) = 12.847

Cell: 6.9873 6.9873 29.4124 Å, 90.00 90.00 120.00°
Closest atoms and distances in Å follow each position.
Space group R-3 (No. 148, hexagonal axes)
Inequivalent atoms, fractional coordinates:
1 Cs 0.0000 0.0000 0.0000 x3  12 Cl 3.74-4.04
2 Tl 0.0000 0.0000 0.5000 x3  6 Cl 3.25
3 Cr 0.0000 0.0000 0.2513 x6  4 Cl 2.19-2.23
4 Cl 0.0000 0.0000 0.3257 x6  1 Cr 2.19
5 Cl 0.0067 0.6258 0.4353 x18  1 Cr 2.23

Record 4
Cs3TlCr2Cl8 | PBE | relaxed

- formation energy (no corrections) (kJ/mol of formula units) = -1817
- N(E_F) (states/eV/f.u.) = 10.676

Cell: 7.7104 7.7104 9.9618 Å, 90.00 90.00 120.00°
Closest atoms and distances in Å follow each position.
Space group P-3m1 (No. 164)
Inequivalent atoms, fractional coordinates:
1 Cs 0.0000 0.0000 0.0000 x1  6 Cl 3.84
2 Cs 0.3333 0.6667 0.6236 x2  1 Cl 3.36
3 Tl 0.0000 0.0000 0.5000 x1  6 Cl 3.07
4 Cr 0.3333 0.6667 0.1914 x2  4 Cl 2.30-2.36
5 Cl 0.1773 0.3547 0.3032 x6  1 Cr 2.36
6 Cl 0.3333 0.6667 0.9605 x2  1 Cr 2.30

Record 5
Cs3TlCr2Cl9 | PBE | relaxed

- formation energy (no corrections) (kJ/mol of formula units) = -2079
- N(E_F) (states/eV/f.u.) = 4.607

Cell: 7.4058 7.4058 9.4647 Å, 90.00 90.00 120.00°
Closest atoms and distances in Å follow each position.
Space group P-3m1 (No. 164)
Inequivalent atoms, fractional coordinates:
1 Cs 0.0000 0.0000 0.0000 x1  12 Cl 3.63-3.70
2 Cs 0.3333 0.6667 0.6750 x2  12 Cl 3.72-4.09
3 Tl 0.0000 0.0000 0.5000 x1  6 Cl 3.04
4 Cr 0.3333 0.6667 0.1502 x2  6 Cl 2.38-2.57
5 Cl 0.0000 0.5000 0.0000 x3  2 Cr 2.57
6 Cl 0.1818 0.3636 0.2944 x6  1 Cr 2.38

Record 6
CsTmCrCl6 | PBE | relaxed

- formation energy (no corrections) (kJ/mol of formula units) = -1565

Cell: 6.9677 11.3158 7.8609 Å, 90.00 93.26 90.00°
Closest atoms and distances in Å follow each position.
Space group C2 (No. 5)
Inequivalent atoms, fractional coordinates:
1 Cs 0.0000 0.0000 0.0000 x2  6 Cl 3.52-3.54
2 Tm 0.0000 0.3426 0.5000 x2  6 Cl 2.55-2.67
3 Cr 0.0000 0.6824 0.5000 x2  4 Cl 2.39-2.42
4 Cl 0.1208 0.5287 0.6855 x4  1 Cr 2.39, 1 Tm 2.67
5 Cl 0.1775 0.2091 0.7174 x4  1 Tm 2.55
6 Cl 0.1792 0.8294 0.6660 x4  1 Cr 2.42, 1 Tm 2.66

Record 7
CsTm2CrCl8 | PBE | relaxed

- formation energy (no corrections) (kJ/mol of formula units) = -1957
- N(E_F) (states/eV/f.u.) = 1.163

Cell: 6.6857 6.6857 26.6965 Å, 90.00 90.00 120.00°
Closest atoms and distances in Å follow each position.
Space group R-3 (No. 148, hexagonal axes)
Inequivalent atoms, fractional coordinates:
1 Cs 0.0000 0.0000 0.0000 x3  12 Cl 3.79-4.02
2 Tm 0.0000 0.0000 0.1967 x6  7 Cl 2.53-2.80
3 Cr 0.0000 0.0000 0.5000 x3  6 Cl 2.47
4 Cl 0.0000 0.0000 0.2916 x6  1 Tm 2.53
5 Cl 0.0188 0.4047 0.7883 x18  1 Cr 2.47, 1 Tm 2.68

Record 8
CsV2CrCl8 | PBE | relaxed

- formation energy (no corrections) (kJ/mol of formula units) = -1377
- N(E_F) (states/eV/f.u.) = 3.102

Cell: 6.5287 6.5287 28.9290 Å, 90.00 90.00 120.00°
Closest atoms and distances in Å follow each position.
Space group R-3 (No. 148, hexagonal axes)
Inequivalent atoms, fractional coordinates:
1 Cs 0.0000 0.0000 0.0000 x3  12 Cl 3.80-4.03
2 V 0.0000 0.0000 0.2387 x6  4 Cl 2.26-2.29
3 Cr 0.0000 0.0000 0.5000 x3  6 Cl 2.54
4 Cl 0.0000 0.0000 0.3167 x6  1 V 2.26
5 Cl 0.0061 0.6880 0.4487 x18  1 V 2.29, 1 Cr 2.54